AcLaIrPb after structural relaxation. Source: the Alexandria database, functional PBE.

abc: 5.4808 5.4808 5.4808
angles: 60.00 60.00 60.00
With the nearest neighbours (Å) after each atom.
Sites, in units of the cell vectors:
Ac 0.7500 0.7500 0.7500  4 Ir 3.36, 4 Pb 3.36
Pb 0.0000 0.0000 0.0000  4 Ac 3.36, 4 La 3.36
La 0.2500 0.2500 0.2500  4 Pb 3.36, 4 Ir 3.36
Ir 0.5000 0.5000 0.5000  4 Ac 3.36, 4 La 3.36

Computed properties:
- Total DFT energy (no corrections): -23.00 eV for the cell shown
- Energy relative to the elements: -1.4 eV per formula unit
- Total magnetic moment: 0.00 μB per atom